No. 1
VASP calculation (GGA-PBE) on a geometry-optimized SrNdS structure.

Calculated values
* crystal system: monoclinic
* ΔE_f (raw): -0.8416 eV per atom
* space group: C2/m
* DOS at the Fermi energy: 6.22 states/eV per cell
* M_tot: 0.0 μB per formula unit
* electronic total energy: -4.367 eV per atom

Unit cell a=7.622 b=7.622 c=5.939 alpha=67.12 beta=67.12 gamma=45.33
Fractional coordinates of all 6 atoms:
Sr (0.680, 0.680, 0.850)
Sr (0.073, 0.073, 0.457)
S (0.579, 0.579, 0.452)
S (0.175, 0.175, 0.856)
Nd (0.377, 0.377, 0.416)
Nd (0.377, 0.377, 0.892)



No. 2
VASP calculation (GGA-PBE) on a geometry-optimized SrNd3S structure.

Calculated values
* crystal system: cubic
* ΔE_f (raw): -0.6542 eV per atom
* space group: Pm-3m
* DOS at the Fermi energy: 7.00 states/eV per cell
* M_tot: 0.0 μB per formula unit
* electronic total energy: -4.677 eV per atom

Unit cell a=5.613 b=5.613 c=5.613 alpha=90.00 beta=90.00 gamma=90.00
Fractional coordinates of all 5 atoms:
Sr (0.500, 0.500, 0.500)
S (0.000, 0.000, 0.000)
Nd (0.000, 0.500, 0.000)
Nd (0.000, 0.000, 0.500)
Nd (0.500, 0.000, 0.000)